NbB4Os PBE optimized geometry; SG = Immm, No. 71; excess energy over the best structure of this formula in the dataset = 0.0 meV per atom
1.0
-1.512 2.592 3.498
1.512 -2.592 3.498
1.512 2.592 -3.498
Nb B Os
1 4 1
direct
0.000 0.000 0.000
0.073 0.744 0.329
0.415 0.744 0.671
0.585 0.256 0.329
0.927 0.256 0.671
0.500 0.500 0.000

Nb3B2P PBE optimized geometry; SG = P6_3/mmc, No. 194; E_tot = -107.0 eV per cell
1.0
3.325 0.000 0.000
-1.662 2.879 0.000
0.000 0.000 17.059
Nb B P
6 4 2
direct
0.000 0.000 0.000
0.000 0.000 0.500
0.333 0.667 0.149
0.333 0.667 0.351
0.667 0.333 0.649
0.667 0.333 0.851
0.333 0.667 0.577
0.333 0.667 0.923
0.667 0.333 0.077
0.667 0.333 0.423
0.000 0.000 0.250
0.000 0.000 0.750

Nb5B2P PBE optimized geometry; SG = I4/mcm, No. 140; E_tot = -150.6 eV per cell
1.0
-3.113 3.113 5.788
3.113 -3.113 5.788
3.113 3.113 -5.788
Nb B P
10 4 2
direct
0.000 0.000 0.000
0.028 0.528 0.837
0.192 0.028 0.500
0.308 0.808 0.837
0.472 0.308 0.500
0.500 0.500 0.000
0.528 0.692 0.500
0.692 0.192 0.163
0.808 0.972 0.500
0.972 0.472 0.163
0.113 0.387 0.500
0.387 0.887 0.274
0.613 0.113 0.726
0.887 0.613 0.500
0.250 0.250 0.000
0.750 0.750 0.000

Nb4SnB2P PBE optimized geometry; SG = P-6m2, No. 187; E_tot = -68.3 eV per cell
1.0
3.324 0.000 0.000
-1.662 2.878 0.000
0.000 0.000 12.893
Nb Sn B P
4 1 2 1
direct
0.000 0.000 0.131
0.000 0.000 0.869
0.333 0.667 0.322
0.333 0.667 0.678
0.000 0.000 0.500
0.667 0.333 0.230
0.667 0.333 0.770
0.333 0.667 0.000

Nb3B4Pb PBE optimized geometry; SG = Pmmm, No. 47; E_tot = -64.2 eV per cell
1.0
3.094 0.000 0.000
0.000 3.244 0.000
0.000 0.000 10.095
Nb B Pb
3 4 1
direct
0.000 0.000 0.000
0.500 0.000 0.267
0.500 0.000 0.733
0.000 0.500 0.180
0.000 0.500 0.820
0.500 0.500 0.094
0.500 0.500 0.906
0.000 0.500 0.500

NbBPb2 PBE optimized geometry; SG = F-43m, No. 216; E_tot = -18.6 eV per cell
1.0
0.000 3.515 3.515
3.515 0.000 3.515
3.515 3.515 0.000
Nb B Pb
1 1 2
direct
0.000 0.000 0.000
0.250 0.250 0.250
0.500 0.500 0.500
0.750 0.750 0.750

Values for M_tot, μB/f.u., ordered as above
0.0, 0.0, 0.0, 0.0, 0.0, 1.9